Entry 1:
Entry from OQMD: a relaxed structure of Cs4Ag2AsP (PBE).

CIF file:
```
data_Cs4Ag2AsP
_chemical_formula_sum 'Cs8 Ag4 As2 P2'
_symmetry_space_group_name_H-M 'A m m 2'
_symmetry_Int_Tables_number 38
_cell_length_a 6.5678
_cell_length_b 11.1629
_cell_length_c 8.1363
_cell_angle_alpha 90.00
_cell_angle_beta 90.00
_cell_angle_gamma 90.00
loop_
_symmetry_equiv_pos_as_xyz
'x,y,z'
'-x,-y,z'
'-x,y,z'
'x,-y,z'
'x,y+1/2,z+1/2'
'-x,-y+1/2,z+1/2'
'-x,y+1/2,z+1/2'
'x,-y+1/2,z+1/2'
loop_
_atom_site_label
_atom_site_fract_x
_atom_site_fract_y
_atom_site_fract_z
_atom_site_occupancy
Cs1 0.0000 0.1691 0.0000 1
Cs2 0.5000 0.1710 0.2982 1
Ag1 0.2562 0.0000 0.6552 1
As1 0.0000 0.0000 0.4160 1
P1 0.5000 0.0000 0.8853 1
```


Entry 2:
Entry from OQMD: a relaxed structure of CsRbAgAs (PBE).

CIF file:
```
data_CsRbAgAs
_chemical_formula_sum 'Cs4 Rb4 Ag4 As4'
_symmetry_space_group_name_H-M 'A m m 2'
_symmetry_Int_Tables_number 38
_cell_length_a 6.4795
_cell_length_b 10.9539
_cell_length_c 8.1579
_cell_angle_alpha 90.00
_cell_angle_beta 90.00
_cell_angle_gamma 90.00
loop_
_symmetry_equiv_pos_as_xyz
'x,y,z'
'-x,-y,z'
'-x,y,z'
'x,-y,z'
'x,y+1/2,z+1/2'
'-x,-y+1/2,z+1/2'
'-x,y+1/2,z+1/2'
'x,-y+1/2,z+1/2'
loop_
_atom_site_label
_atom_site_fract_x
_atom_site_fract_y
_atom_site_fract_z
_atom_site_occupancy
Cs1 0.0000 0.1714 0.0000 1
Rb1 0.5000 0.1701 0.7073 1
Ag1 0.2506 0.0000 0.3564 1
As1 0.0000 0.0000 0.6000 1
As2 0.5000 0.0000 0.1123 1
```


Entry 3:
Entry from OQMD: a relaxed structure of CsRbAg2As2 (PBE).

CIF file:
```
data_CsRbAg2As2
_chemical_formula_sum 'Cs1 Rb1 Ag2 As2'
_symmetry_space_group_name_H-M 'P 4 m m'
_symmetry_Int_Tables_number 99
_cell_length_a 4.6908
_cell_length_b 4.6908
_cell_length_c 8.2162
_cell_angle_alpha 90.00
_cell_angle_beta 90.00
_cell_angle_gamma 90.00
loop_
_symmetry_equiv_pos_as_xyz
'x,y,z'
'-y,x,z'
'-x,-y,z'
'y,-x,z'
'-x,y,z'
'y,x,z'
'x,-y,z'
'-y,-x,z'
loop_
_atom_site_label
_atom_site_fract_x
_atom_site_fract_y
_atom_site_fract_z
_atom_site_occupancy
Cs1 0.0000 0.0000 0.0000 1
Rb1 0.5000 0.5000 0.6756 1
Ag1 0.0000 0.5000 0.3502 1
As1 0.0000 0.0000 0.5152 1
As2 0.5000 0.5000 0.1862 1
```


Entry 4:
Entry from OQMD: a relaxed structure of Cs3RbAg2As2 (PBE).

CIF file:
```
data_Cs3RbAg2As2
_chemical_formula_sum 'Cs3 Rb1 Ag2 As2'
_symmetry_space_group_name_H-M 'P 1 m 1'
_symmetry_Int_Tables_number 6
_cell_length_a 6.8712
_cell_length_b 6.5133
_cell_length_c 6.8969
_cell_angle_alpha 90.00
_cell_angle_beta 107.02
_cell_angle_gamma 90.00
loop_
_symmetry_equiv_pos_as_xyz
'x,y,z'
'x,-y,z'
loop_
_atom_site_label
_atom_site_fract_x
_atom_site_fract_y
_atom_site_fract_z
_atom_site_occupancy
Cs1 0.0000 0.0000 0.0000 1
Cs2 0.0501 0.5000 0.3676 1
Cs3 0.3433 0.0000 0.6584 1
Rb1 0.7069 0.5000 0.7056 1
Ag1 0.5259 0.2503 0.1853 1
As1 0.2890 0.5000 0.9376 1
As2 0.7680 0.0000 0.4278 1
```


Entry 5:
Entry from OQMD: a relaxed structure of CsRb3Ag2As2 (PBE).

CIF file:
```
data_CsRb3Ag2As2
_chemical_formula_sum 'Cs1 Rb3 Ag2 As2'
_symmetry_space_group_name_H-M 'P 1 m 1'
_symmetry_Int_Tables_number 6
_cell_length_a 6.7165
_cell_length_b 6.3991
_cell_length_c 6.7570
_cell_angle_alpha 90.00
_cell_angle_beta 105.98
_cell_angle_gamma 90.00
loop_
_symmetry_equiv_pos_as_xyz
'x,y,z'
'x,-y,z'
loop_
_atom_site_label
_atom_site_fract_x
_atom_site_fract_y
_atom_site_fract_z
_atom_site_occupancy
Cs1 0.0000 0.0000 0.0000 1
Rb1 0.0508 0.5000 0.3683 1
Rb2 0.3453 0.0000 0.6606 1
Rb3 0.7084 0.5000 0.7082 1
Ag1 0.5286 0.2505 0.1852 1
As1 0.2824 0.5000 0.9377 1
As2 0.7689 0.0000 0.4373 1
```


Entry 6:
Entry from OQMD: a relaxed structure of CsRbAgAs (PBE).

CIF file:
```
data_CsRbAgAs
_chemical_formula_sum 'Cs2 Rb2 Ag2 As2'
_symmetry_space_group_name_H-M 'P 1 21/m 1'
_symmetry_Int_Tables_number 11
_cell_length_a 6.7616
_cell_length_b 6.4376
_cell_length_c 6.8335
_cell_angle_alpha 90.00
_cell_angle_beta 106.23
_cell_angle_gamma 90.00
loop_
_symmetry_equiv_pos_as_xyz
'x,y,z'
'-x,-y,-z'
'-x,y+1/2,-z'
'x,-y+1/2,z'
loop_
_atom_site_label
_atom_site_fract_x
_atom_site_fract_y
_atom_site_fract_z
_atom_site_occupancy
Cs1 0.0278 0.2500 0.1846 1
Rb1 0.3194 0.7500 0.4788 1
Ag1 0.5000 0.0000 0.0000 1
As1 0.2646 0.2500 0.7471 1
```


Entry 7:
Entry from OQMD: a relaxed structure of CsRbAgAs (PBE).

CIF file:
```
data_CsRbAgAs
_chemical_formula_sum 'Cs4 Rb4 Ag4 As4'
_symmetry_space_group_name_H-M 'A m a 2'
_symmetry_Int_Tables_number 40
_cell_length_a 6.4862
_cell_length_b 8.1674
_cell_length_c 10.9253
_cell_angle_alpha 90.00
_cell_angle_beta 90.00
_cell_angle_gamma 90.00
loop_
_symmetry_equiv_pos_as_xyz
'x,y,z'
'-x,-y,z'
'-x+1/2,y,z'
'x+1/2,-y,z'
'x,y+1/2,z+1/2'
'-x,-y+1/2,z+1/2'
'-x+1/2,y+1/2,z+1/2'
'x+1/2,-y+1/2,z+1/2'
loop_
_atom_site_label
_atom_site_fract_x
_atom_site_fract_y
_atom_site_fract_z
_atom_site_occupancy
Cs1 0.2500 0.1457 0.0000 1
Rb1 0.2500 0.1472 0.6589 1
Ag1 0.0000 0.0000 0.3281 1
As1 0.2500 0.2434 0.3325 1
```


Entry 8:
Entry from OQMD: a relaxed structure of CsRb2Ag3As2 (PBE).

CIF file:
```
data_CsRb2Ag3As2
_chemical_formula_sum 'Cs3 Rb6 Ag9 As6'
_symmetry_space_group_name_H-M 'R -3 m'
_symmetry_Int_Tables_number 166
_symmetry_space_group_name_Hall '-R 3 2"'
_cell_length_a 6.3318
_cell_length_b 6.3318
_cell_length_c 21.7798
_cell_angle_alpha 90.00
_cell_angle_beta 90.00
_cell_angle_gamma 120.00
loop_
_atom_site_label
_atom_site_fract_x
_atom_site_fract_y
_atom_site_fract_z
_atom_site_occupancy
Cs1 0.0000 0.0000 0.0000 1
Rb1 0.0000 0.0000 0.4093 1
Ag1 0.0000 0.5000 0.5000 1
As1 0.0000 0.0000 0.2491 1
```


Entry 9:
Entry from OQMD: a relaxed structure of Cs2RbAg3As2 (PBE).

CIF file:
```
data_Cs2RbAg3As2
_chemical_formula_sum 'Cs6 Rb3 Ag9 As6'
_symmetry_space_group_name_H-M 'R -3 m'
_symmetry_Int_Tables_number 166
_symmetry_space_group_name_Hall '-R 3 2"'
_cell_length_a 6.4941
_cell_length_b 6.4941
_cell_length_c 21.9037
_cell_angle_alpha 90.00
_cell_angle_beta 90.00
_cell_angle_gamma 120.00
loop_
_atom_site_label
_atom_site_fract_x
_atom_site_fract_y
_atom_site_fract_z
_atom_site_occupancy
Cs1 0.0000 0.0000 0.0912 1
Rb1 0.0000 0.0000 0.5000 1
Ag1 0.0000 0.5000 0.0000 1
As1 0.0000 0.0000 0.2534 1
```


Entry 10:
Entry from OQMD: a relaxed structure of Cs3AgAs4S8 (PBE).

CIF file:
```
data_Cs3AgAs4S8
_chemical_formula_sum 'Cs24 Ag8 As32 S64'
_symmetry_space_group_name_H-M 'C 1 2/c 1'
_symmetry_Int_Tables_number 15
_cell_length_a 28.3035
_cell_length_b 7.1403
_cell_length_c 20.1904
_cell_angle_alpha 90.00
_cell_angle_beta 109.84
_cell_angle_gamma 90.00
loop_
_symmetry_equiv_pos_as_xyz
'x,y,z'
'-x,-y,-z'
'-x,y,-z+1/2'
'x,-y,z+1/2'
'x+1/2,y+1/2,z'
'-x+1/2,-y+1/2,-z'
'-x+1/2,y+1/2,-z+1/2'
'x+1/2,-y+1/2,z+1/2'
loop_
_atom_site_label
_atom_site_fract_x
_atom_site_fract_y
_atom_site_fract_z
_atom_site_occupancy
Cs1 0.0013 0.2283 0.0644 1
Cs2 0.1273 0.2828 0.9089 1
Cs3 0.2169 0.2648 0.1587 1
Ag1 0.0000 0.0533 0.7500 1
Ag2 0.0000 0.4683 0.2500 1
As1 0.1011 0.2843 0.6714 1
As2 0.1037 0.2155 0.2425 1
As3 0.1496 0.2272 0.5353 1
As4 0.2154 0.2343 0.4054 1
S1 0.0193 0.3003 0.6625 1
S2 0.0640 0.2128 0.3213 1
S3 0.1018 0.4539 0.5732 1
S4 0.1089 0.0253 0.0455 1
S5 0.1442 0.4933 0.7594 1
S6 0.1728 0.0445 0.2989 1
S7 0.2185 0.2281 0.6389 1
S8 0.2401 0.9996 0.4800 1
```


Entry 11:
Entry from OQMD: a relaxed structure of CsAg2AsS3 (PBE).

CIF file:
```
data_CsAg2AsS3
_chemical_formula_sum 'Cs4 Ag8 As4 S12'
_symmetry_space_group_name_H-M 'P 1 21/c 1'
_symmetry_Int_Tables_number 14
_cell_length_a 10.1664
_cell_length_b 8.5331
_cell_length_c 9.5272
_cell_angle_alpha 90.00
_cell_angle_beta 108.01
_cell_angle_gamma 90.00
loop_
_symmetry_equiv_pos_as_xyz
'x,y,z'
'-x,-y,-z'
'-x,y+1/2,-z+1/2'
'x,-y+1/2,z+1/2'
loop_
_atom_site_label
_atom_site_fract_x
_atom_site_fract_y
_atom_site_fract_z
_atom_site_occupancy
Cs1 0.0847 0.0661 0.2544 1
Ag1 0.3272 0.5276 0.2168 1
Ag2 0.4419 0.2399 0.5654 1
As1 0.3479 0.6392 0.5569 1
S1 0.1602 0.7230 0.0618 1
S2 0.2512 0.0877 0.9319 1
S3 0.4320 0.5213 0.7893 1
```


Entry 12:
Entry from OQMD: a relaxed structure of Cs4Ag2SbAs (PBE).

CIF file:
```
data_Cs4Ag2SbAs
_chemical_formula_sum 'Cs8 Ag4 Sb2 As2'
_symmetry_space_group_name_H-M 'A m m 2'
_symmetry_Int_Tables_number 38
_cell_length_a 6.7967
_cell_length_b 11.4382
_cell_length_c 8.3225
_cell_angle_alpha 90.00
_cell_angle_beta 90.00
_cell_angle_gamma 90.00
loop_
_symmetry_equiv_pos_as_xyz
'x,y,z'
'-x,-y,z'
'-x,y,z'
'x,-y,z'
'x,y+1/2,z+1/2'
'-x,-y+1/2,z+1/2'
'-x,y+1/2,z+1/2'
'x,-y+1/2,z+1/2'
loop_
_atom_site_label
_atom_site_fract_x
_atom_site_fract_y
_atom_site_fract_z
_atom_site_occupancy
Cs1 0.0000 0.1652 0.0000 1
Cs2 0.5000 0.1741 0.3026 1
Ag1 0.2715 0.0000 0.6672 1
Sb1 0.0000 0.0000 0.4268 1
As1 0.5000 0.0000 0.9115 1
```


Values for E, eV/atom, ordered as above
-2.724, -2.685, -2.955, -2.674, -2.701, -2.688, -2.686, -2.938, -2.897, -4.116, -3.816, -2.614